Record 1
Below is a relaxed Pm4AlPt2 crystal, with properties calculated at the PBE level.

Calculated values
Calculated volume (Å³ per cell): 202
DFT formation energy (eV per atom): -0.70
Space-group type: C2/m

Cell lengths 7.148, 7.148, 7.431 Å; angles 118.66, 118.66, 38.02 degrees
Atoms (fractional coordinates):
Pm  0.108  0.108  0.337
Pm  0.344  0.344  0.220
Pm  0.656  0.656  0.780
Pm  0.892  0.892  0.663
Al  0.500  0.500  0.000
Pt  0.288  0.288  0.777
Pt  0.712  0.712  0.223


Record 2
Below is a relaxed LaHo2PaSb4 crystal, with properties calculated at the PBE level.

Calculated values
Calculated volume (Å³ per cell): 246
Space-group type: I-4m2
Energy relative to the elements, uncorrected (eV/atom): -0.962

Cell lengths 7.664, 7.664, 7.664 Å; angles 131.72, 131.72, 70.67 degrees
Atoms (fractional coordinates):
La  0.000  0.000  0.000
Ho  0.500  0.500  0.000
Ho  0.750  0.250  0.500
Pa  0.250  0.750  0.500
Sb  0.002  0.502  0.500
Sb  0.255  0.255  0.000
Sb  0.498  0.998  0.500
Sb  0.745  0.745  0.000


Record 3
Below is a relaxed SrLiPd crystal, with properties calculated at the PBE level.

Calculated values
Calculated volume (Å³ per cell): 70
DFT formation energy (eV per atom): -0.30
Space-group type: I4mm
Energy above the lowest structure with this stoichiometry (eV per atom): 0.152

Cell lengths 5.835, 5.835, 5.835 Å; angles 143.31, 143.31, 52.86 degrees
Atoms (fractional coordinates):
Sr  0.000  0.000  0.000
Li  0.723  0.723  0.000
Pd  0.314  0.314  0.000


> The lowest calculated volume belongs to which entry?

SrLiPd